(1)
The following is a PBE calculation of a geometry-optimized Ba3TlPd2O6 structure, from the Alexandria database.

a b c (Å): 6.187 6.187 6.883
angles (deg): 90.00 90.00 120.00
Fractional coordinates of all 12 atoms:
Ba 0.667 0.333 0.369
Ba 0.333 0.667 0.631
Ba 0.000 0.000 0.000
O 0.830 0.659 0.698
O 0.659 0.830 0.302
O 0.170 0.341 0.302
O 0.170 0.830 0.302
O 0.830 0.170 0.698
O 0.341 0.170 0.698
Pd 0.333 0.667 0.141
Pd 0.667 0.333 0.859
Tl 0.000 0.000 0.500

## Properties
Calculated density = 6734 kg/m³
Formation energy from raw total energies = -1.253 eV per atom
DOS at the Fermi energy = 6.81 states/eV/f.u.

***

(2)
The following is a PBE calculation of a geometry-optimized BaTl2PdO4 structure, from the Alexandria database.

a b c (Å): 3.749 6.826 11.200
angles (deg): 90.00 90.00 105.94
Site moments in Bohr magnetons follow the coordinates.
Fractional coordinates of all 16 atoms:
Tl 0.621 0.243 0.449  0.00
Tl 0.621 0.243 0.051  0.00
Tl 0.379 0.757 0.949  0.00
Tl 0.379 0.757 0.551  0.00
O 0.565 0.131 0.250  0.13
O 0.303 0.606 0.378  0.04
O 0.697 0.394 0.878  0.04
O 0.697 0.394 0.622  0.04
O 0.000 0.000 0.500  0.00
O 0.303 0.606 0.122  0.04
O 0.435 0.869 0.750  0.13
O 0.000 0.000 0.000  0.00
Pd 0.180 0.360 0.250  0.37
Pd 0.820 0.640 0.750  0.37
Ba 0.907 0.814 0.250  0.00
Ba 0.093 0.186 0.750  0.00

## Properties
Calculated density = 8634 kg/m³
Formation energy from raw total energies = -0.861 eV per atom
DOS at the Fermi energy = 2.85 states/eV/f.u.

***

(3)
The following is a PBE calculation of a geometry-optimized BaTlPdO3 structure, from the Alexandria database.

a b c (Å): 8.045 8.045 8.329
angles (deg): 54.67 54.67 40.40
Fractional coordinates of all 12 atoms:
Tl 0.992 0.992 0.816
Tl 0.008 0.008 0.184
O 0.373 0.861 0.196
O 0.128 0.128 0.825
O 0.139 0.627 0.804
O 0.861 0.373 0.196
O 0.872 0.872 0.175
O 0.627 0.139 0.804
Pd 0.261 0.739 0.500
Pd 0.739 0.261 0.500
Ba 0.718 0.718 0.852
Ba 0.282 0.282 0.148

## Properties
Calculated density = 5988 kg/m³
Formation energy from raw total energies = -1.042 eV per atom
DOS at the Fermi energy = 1.23 states/eV/f.u.

***

(4)
The following is a PBE calculation of a geometry-optimized BaTl2PdO structure, from the Alexandria database.

a b c (Å): 5.176 5.119 5.176
angles (deg): 90.00 90.00 90.00
Fractional coordinates of all 5 atoms:
Tl 0.500 0.000 0.000
Tl 0.000 0.000 0.500
Pd 0.500 0.500 0.500
Ba 0.000 0.500 0.000
O 0.000 0.000 0.000

## Properties
Calculated density = 8095 kg/m³
Formation energy from raw total energies = -0.521 eV per atom
DOS at the Fermi energy = 1.50 states/eV/f.u.

***

(5)
The following is a PBE calculation of a geometry-optimized Ba6Tl2PdO structure, from the Alexandria database.

a b c (Å): 8.299 8.299 11.720
angles (deg): 90.00 90.00 90.00
Fractional coordinates of all 20 atoms:
Ba 0.263 0.487 0.500
Ba 0.237 0.987 0.000
Ba 0.000 0.750 0.763
Ba 0.500 0.250 0.737
Ba 0.263 0.013 0.500
Ba 0.737 0.487 0.500
Ba 0.237 0.513 0.000
Ba 0.763 0.987 0.000
Ba 0.500 0.250 0.263
Ba 0.000 0.750 0.237
Ba 0.737 0.013 0.500
Ba 0.763 0.513 0.000
O 0.000 0.751 0.000
O 0.500 0.249 0.500
Pd 0.500 0.250 0.000
Pd 0.000 0.750 0.500
Tl 0.000 0.251 0.250
Tl 0.500 0.749 0.750
Tl 0.500 0.749 0.250
Tl 0.000 0.251 0.750

## Properties
Calculated density = 5576 kg/m³
Formation energy from raw total energies = -0.698 eV per atom
DOS at the Fermi energy = 10.21 states/eV/f.u.

***

(6)
The following is a PBE calculation of a geometry-optimized Ba2TlPdO6 structure, from the Alexandria database.

a b c (Å): 4.230 4.230 8.641
angles (deg): 90.00 90.00 90.00
Site moments in Bohr magnetons follow the coordinates.
Fractional coordinates of all 10 atoms:
O 0.500 0.000 0.000  0.01
O 0.500 0.000 0.500  0.10
O 0.500 0.500 0.272  0.20
O 0.000 0.500 0.000  0.01
O 0.500 0.500 0.728  0.20
O 0.000 0.500 0.500  0.10
Ba 0.000 0.000 0.264  0.01
Ba 0.000 0.000 0.736  0.01
Pd 0.500 0.500 0.500  0.42
Tl 0.500 0.500 0.000  -0.01

## Properties
Calculated density = 7318 kg/m³
Formation energy from raw total energies = -1.285 eV per atom
DOS at the Fermi energy = 8.22 states/eV/f.u.

***

(7)
The following is a PBE calculation of a geometry-optimized BaTm2PdO5 structure, from the Alexandria database.

a b c (Å): 6.469 6.469 7.619
angles (deg): 115.12 115.12 90.00
Site moments in Bohr magnetons follow the coordinates.
Fractional coordinates of all 18 atoms:
Tm 0.172 0.328 0.000  0.05
Tm 0.828 0.672 0.000  0.05
Tm 0.328 0.828 0.000  0.05
Tm 0.672 0.172 0.000  0.05
O 0.473 0.255 0.228  0.19
O 0.027 0.527 0.772  0.19
O 0.745 0.245 0.772  0.19
O 0.973 0.473 0.228  0.19
O 0.245 0.027 0.772  0.19
O 0.755 0.973 0.228  0.19
O 0.000 0.000 0.000  0.07
O 0.500 0.500 0.000  0.07
O 0.527 0.745 0.772  0.19
O 0.255 0.755 0.228  0.19
Ba 0.250 0.250 0.500  -0.01
Ba 0.750 0.750 0.500  -0.01
Pd 0.250 0.750 0.500  1.00
Pd 0.750 0.250 0.500  1.00

## Properties
Calculated density = 8618 kg/m³
Formation energy from raw total energies = -2.508 eV per atom

***

(8)
The following is a PBE calculation of a geometry-optimized Ba2TmPd2O6 structure, from the Alexandria database.

a b c (Å): 6.182 6.182 6.871
angles (deg): 63.26 63.26 60.00
Fractional coordinates of all 11 atoms:
O 0.237 0.787 0.739
O 0.763 0.763 0.261
O 0.213 0.763 0.261
O 0.787 0.237 0.739
O 0.763 0.213 0.261
O 0.237 0.237 0.739
Tm 0.000 0.000 0.000
Ba 0.215 0.215 0.356
Ba 0.785 0.785 0.644
Pd 0.586 0.586 0.243
Pd 0.414 0.414 0.757

## Properties
Calculated density = 6430 kg/m³
Formation energy from raw total energies = -1.722 eV per atom
DOS at the Fermi energy = 6.30 states/eV/f.u.